Entry 1:
# PmPaCoN4

An optimized crystal structure of PmPaCoN4 (GGA-PBE, the Alexandria database).

Properties
size of the total moment = 0.03 μB/cell
uncorrected formation energy = -0.879 eV per atom
V = 12.0 Å³/atom
D(E_F) = 8.5 states/eV/cell
uncorrected energy = -8.6867 eV/atom

abc: 3.739 3.739 12.064
angles: 90.00 90.00 90.00
Space group I4mm (No. 107)
Inequivalent atoms, fractional coordinates:
Pm  0.000  0.000  0.000 [2 per cell]
Pa  0.000  0.000  0.721 [2 per cell]
Co  0.000  0.000  0.359 [2 per cell]
N  0.000  0.000  0.191 [2 per cell]
N  0.000  0.000  0.540 [2 per cell]
N  0.000  0.500  0.345 [4 per cell]

***

Entry 2:
# Th5TeP4

An optimized crystal structure of Th5TeP4 (GGA-PBE, the Alexandria database).

Properties
size of the total moment = 0.00 μB/cell
uncorrected formation energy = -1.450 eV per atom
V = 26.3 Å³/atom
D(E_F) = 14.0 states/eV/cell
uncorrected energy = -7.6378 eV/atom

abc: 14.017 4.176 10.366
angles: 90.00 119.89 90.00
Space group C2/m (No. 12)
Inequivalent atoms, fractional coordinates:
Th  0.000  0.000  0.000 [2 per cell]
Th  0.113  0.500  0.388 [4 per cell]
Th  0.209  0.000  0.818 [4 per cell]
Te  0.000  0.000  0.500 [2 per cell]
P  0.094  0.500  0.894 [4 per cell]
P  0.205  0.000  0.294 [4 per cell]

***

Entry 3:
# Ta2TlIr

An optimized crystal structure of Ta2TlIr (GGA-PBE, the Alexandria database).

Properties
size of the total moment = 0.00 μB/cell
V = 17.9 Å³/atom
ΔH_f (0 K) = 177 meV/atom
D(E_F) = 3.7 states/eV/cell
uncorrected energy = -8.5565 eV/atom

abc: 4.117 4.117 4.236
angles: 90.00 90.00 90.00
Space group P4/mmm (No. 123)
Inequivalent atoms, fractional coordinates:
Ta  0.000  0.500  0.000 [2 per cell]
Tl  0.000  0.000  0.500 [1 per cell]
Ir  0.500  0.500  0.500 [1 per cell]

***

Entry 4:
# Sr2Cd3Au4

An optimized crystal structure of Sr2Cd3Au4 (GGA-PBE, the Alexandria database).

Properties
size of the total moment = 0.00 μB/cell
V = 24.5 Å³/atom
ΔH_f (0 K) = -499 meV/atom
D(E_F) = 12.1 states/eV/cell
uncorrected energy = -2.6344 eV/atom

abc: 6.285 16.582 8.473
angles: 90.00 90.00 90.00
Space group Cmce (No. 64)
Inequivalent atoms, fractional coordinates:
Sr  0.000  0.113  0.084 [8 per cell]
Cd  0.000  0.000  0.500 [4 per cell]
Cd  0.250  0.220  0.750 [8 per cell]
Au  0.000  0.182  0.465 [8 per cell]
Au  0.250  0.048  0.750 [8 per cell]

***

Entry 5:
# YSn3S6

An optimized crystal structure of YSn3S6 (GGA-PBE, the Alexandria database).

Properties
size of the total moment = 0.00 μB/cell
uncorrected formation energy = -0.751 eV per atom
V = 24.5 Å³/atom
D(E_F) = 5.2 states/eV/cell
uncorrected energy = -5.0747 eV/atom

abc: 11.325 3.865 12.294
angles: 90.00 114.54 90.00
Space group P2_1/m (No. 11)
Inequivalent atoms, fractional coordinates:
Y  0.214  0.250  0.061 [2 per cell]
Sn  0.041  0.750  0.259 [2 per cell]
Sn  0.348  0.250  0.480 [2 per cell]
Sn  0.381  0.750  0.844 [2 per cell]
S  0.025  0.750  0.913 [2 per cell]
S  0.089  0.250  0.412 [2 per cell]
S  0.213  0.250  0.821 [2 per cell]
S  0.252  0.750  0.238 [2 per cell]
S  0.393  0.750  0.634 [2 per cell]
S  0.407  0.750  0.071 [2 per cell]

***

Entry 6:
# Ce2BiSb3

An optimized crystal structure of Ce2BiSb3 (GGA-PBE, the Alexandria database).

Properties
size of the total moment = 0.00 μB/cell
uncorrected formation energy = -0.743 eV per atom
V = 29.2 Å³/atom
D(E_F) = 4.2 states/eV/cell
uncorrected energy = -5.4290 eV/atom

abc: 4.442 4.442 8.882
angles: 90.00 90.00 90.00
Space group P-4m2 (No. 115)
Inequivalent atoms, fractional coordinates:
Ce  0.000  0.500  0.209 [2 per cell]
Bi  0.000  0.000  0.500 [1 per cell]
Sb  0.000  0.500  0.851 [2 per cell]
Sb  0.500  0.500  0.500 [1 per cell]

***

Entry 7:
# ReIO2

An optimized crystal structure of ReIO2 (GGA-PBE, the Alexandria database).

Properties
size of the total moment = 0.03 μB/cell
uncorrected formation energy = 0.982 eV per atom
V = 12.9 Å³/atom
D(E_F) = 12.7 states/eV/cell
uncorrected energy = -4.9966 eV/atom

abc: 5.913 5.913 5.913
angles: 90.00 90.00 90.00
Space group Fm-3m (No. 225)
Inequivalent atoms, fractional coordinates:
Re  0.000  0.000  0.000 [4 per cell]
I  0.000  0.000  0.500 [4 per cell]
O  0.250  0.250  0.250 [8 per cell]

***

Entry 8:
# Zr2FeRh

An optimized crystal structure of Zr2FeRh (GGA-PBE, the Alexandria database).

Properties
size of the total moment = 0.00 μB/cell
V = 17.9 Å³/atom
ΔH_f (0 K) = 9 meV/atom
D(E_F) = 8.9 states/eV/cell
uncorrected energy = -8.2186 eV/atom

abc: 6.980 6.980 5.880
angles: 90.00 90.00 90.00
Space group I-42d (No. 122)
Inequivalent atoms, fractional coordinates:
Zr  0.234  0.750  0.125 [8 per cell]
Fe  0.000  0.000  0.000 [4 per cell]
Rh  0.000  0.000  0.500 [4 per cell]

***

Entry 9:
# Cd2CoP

An optimized crystal structure of Cd2CoP (GGA-PBE, the Alexandria database).

Properties
size of the total moment = 4.48 μB/cell
V = 16.8 Å³/atom
ΔH_f (0 K) = 403 meV/atom
D(E_F) = 10.0 states/eV/cell
uncorrected energy = -3.1830 eV/atom

abc: 5.561 5.578 8.665
angles: 90.00 90.00 90.00
Space group Fmmm (No. 69)
Inequivalent atoms, fractional coordinates:
Cd  0.250  0.250  0.250 [8 per cell]
Co  0.000  0.000  0.000 [4 per cell]
P  0.000  0.000  0.500 [4 per cell]

***

Entry 10:
# Ce3NiHg2

An optimized crystal structure of Ce3NiHg2 (GGA-PBE, the Alexandria database).

Properties
size of the total moment = 11.81 μB/cell
V = 27.1 Å³/atom
ΔH_f (0 K) = -149 meV/atom
D(E_F) = 73.4 states/eV/cell
uncorrected energy = -4.1805 eV/atom

abc: 7.806 10.501 8.035
angles: 90.00 99.12 90.00
Space group C2/m (No. 12)
Inequivalent atoms, fractional coordinates:
Ce  0.174  0.000  0.174 [4 per cell]
Ce  0.227  0.185  0.769 [8 per cell]
Ni  0.000  0.210  0.000 [4 per cell]
Hg  0.000  0.000  0.500 [2 per cell]
Hg  0.000  0.365  0.500 [4 per cell]
Hg  0.000  0.500  0.000 [2 per cell]

***

Entry 11:
# Pr3InAg

An optimized crystal structure of Pr3InAg (GGA-PBE, the Alexandria database).

Properties
size of the total moment = 1.25 μB/cell
V = 30.2 Å³/atom
ΔH_f (0 K) = -268 meV/atom
D(E_F) = 25.6 states/eV/cell
uncorrected energy = -4.2536 eV/atom

abc: 5.442 20.429 5.439
angles: 90.00 90.00 90.00
Space group Cmcm (No. 63)
Inequivalent atoms, fractional coordinates:
Pr  0.000  0.059  0.250 [4 per cell]
Pr  0.000  0.248  0.250 [4 per cell]
Pr  0.000  0.435  0.250 [4 per cell]
In  0.000  0.153  0.750 [4 per cell]
Ag  0.000  0.347  0.750 [4 per cell]

***

Entry 12:
# MgSc2Ta

An optimized crystal structure of MgSc2Ta (GGA-PBE, the Alexandria database).

Properties
size of the total moment = 0.00 μB/cell
V = 21.4 Å³/atom
ΔH_f (0 K) = 154 meV/atom
D(E_F) = 5.1 states/eV/cell
uncorrected energy = -6.3733 eV/atom

abc: 2.979 5.083 5.644
angles: 90.00 90.00 90.00
Space group Pmm2 (No. 25)
Inequivalent atoms, fractional coordinates:
Mg  0.000  0.000  0.000 [1 per cell]
Sc  0.500  0.000  0.475 [1 per cell]
Sc  0.500  0.500  0.795 [1 per cell]
Ta  0.000  0.500  0.310 [1 per cell]

***

> The highest V belongs to which entry?

Pr3InAg

***

> The highest V belongs to which entry?

Pr3InAg

***

> The highest uncorrected energy belongs to which entry?

Sr2Cd3Au4